The following is a PBE calculation of a geometry-optimized GaHRu2 structure, from the Alexandria database.

The space group is R3m. As for the energy relative to the lowest polymorph listed for this composition: 0.000 eV/atom. The calculation puts the magnetization at 0.0 μB per formula unit. The density of states at the Fermi level comes out at 2.988 states/eV per cell.

Structure (POSCAR):
```
GaHRu2
1.0
2.860 0.000 0.000
1.430 2.477 0.000
1.430 0.826 6.332
Ga H Ru
1 1 2
direct
0.500 0.500 0.501 Ga
0.667 0.667 0.999 H
0.059 0.059 0.822 Ru
0.274 0.274 0.178 Ru
```

The following is a PBE calculation of a geometry-optimized YSi4Pb structure, from the Alexandria database.

The space group is F-43m. The total energy is -5.259 eV per atom. The calculation puts the magnetization at 0.0 μB per formula unit. The density of states at the Fermi level comes out at 4.806 states/eV per cell.

Structure (POSCAR):
```
YSi4Pb
1.0
0.000 3.838 3.838
3.838 0.000 3.838
3.838 3.838 0.000
Y Si Pb
1 4 1
direct
0.750 0.750 0.750 Y
0.887 0.371 0.371 Si
0.371 0.371 0.887 Si
0.371 0.887 0.371 Si
0.371 0.371 0.371 Si
0.000 0.000 0.000 Pb
```